Record 1
The following is a DFT calculation (PBEsol) of crystalline NpGa5Rh at its relaxed geometry. Values from VASP.

Properties
V = 121.8 Å³/cell
Calculated formation energy = -0.3808 eV/atom
Space-group type = P4/mmm
Raw total energy = -41.35 eV per cell

Cell and atoms, written as Quantum ESPRESSO input:
```
&SYSTEM
  ibrav = 0, nat = 7, ntyp = 3
/
ATOMIC_SPECIES
Ga 69.72 Ga.upf
Rh 102.91 Rh.upf
Np 237.00 Np.upf
ATOMIC_POSITIONS crystal
Ga 0.000 0.500 0.299
Ga 0.500 0.000 0.701
Rh 0.000 0.000 0.500
Ga 0.000 0.500 0.701
Np 0.000 0.000 0.000
Ga 0.500 0.000 0.299
Ga 0.500 0.500 0.000
CELL_PARAMETERS angstrom
4.238 0.000 0.000
0.000 4.238 0.000
0.000 0.000 6.783
```

=====

Record 2
The following is a DFT calculation (PBEsol) of crystalline Ga2O3 at its relaxed geometry. Values from VASP.

Properties
V = 97.3 Å³/cell
Space-group type = R-3c
Raw total energy = -63.81 eV per cell

Cell and atoms, written as Quantum ESPRESSO input:
```
&SYSTEM
  ibrav = 0, nat = 10, ntyp = 2
/
ATOMIC_SPECIES
O 16.00 O.upf
Ga 69.72 Ga.upf
ATOMIC_POSITIONS crystal
O 0.447 0.750 0.750
Ga 0.856 0.856 0.432
O 0.250 0.947 0.250
O 0.553 0.250 0.250
Ga 0.644 0.644 0.068
O 0.750 0.053 0.750
Ga 0.356 0.356 0.932
Ga 0.144 0.144 0.568
O 0.947 0.553 0.250
O 0.053 0.447 0.750
CELL_PARAMETERS angstrom
-4.732 -1.413 0.813
-1.172 -2.555 4.140
-2.748 2.531 3.809
```